A plane-wave DFT calculation with PBEsol was carried out for LaAlZn2 after structural relaxation.

Structure (POSCAR):
```
LaAlZn2
1.0
3.041 0.000 0.000
1.520 2.633 0.000
1.520 0.878 9.736
La Zn Al
1 2 1
Cartesian
3.041 1.756 4.868
4.561 2.633 7.607
1.520 0.878 2.129
0.000 0.000 0.000
```

## Properties
Formation energy ... 0.1035 eV/atom
Density ... 6.32 g/cm3
Volume ... 78.0 Å³/f.u.